(1)
Th4SiTe2C: optimized geometry, PBE-GGA.

CIF file:
```
data_Th4SiTe2C
_cell_length_a 7.201
_cell_length_b 4.116
_cell_length_c 7.782
_cell_angle_alpha 90.00
_cell_angle_beta 107.77
_cell_angle_gamma 90.00
_space_group_name_H-M_alt 'P 1 2/m 1'
_space_group_IT_number 10
loop_
_space_group_symop_operation_xyz
'x,y,z'
'-x,-y,-z'
'-x,y,-z'
'x,-y,z'
loop_
_atom_site_label
_atom_site_type_symbol
_atom_site_fract_x
_atom_site_fract_y
_atom_site_fract_z
Th1 Th 0.212 0.000 0.192
Th2 Th 0.240 0.500 0.801
Si1 Si 0.500 0.000 0.000
Te1 Te 0.000 0.000 0.500
Te2 Te 0.500 0.500 0.500
C1 C 0.000 0.500 0.000
```

## Properties
Calculated total energy ... -7.1823 eV per atom
Fermi-level density of states ... 0.36 states/eV/atom

---

(2)
Th4Si2TeC: optimized geometry, PBE-GGA.

CIF file:
```
data_Th4Si2TeC
_cell_length_a 7.250
_cell_length_b 7.547
_cell_length_c 7.704
_cell_angle_alpha 90.00
_cell_angle_beta 90.00
_cell_angle_gamma 90.00
_space_group_name_H-M_alt 'I 2 2 2'
_space_group_IT_number 23
loop_
_space_group_symop_operation_xyz
'x,y,z'
'-x,-y,z'
'x,-y,-z'
'-x,y,-z'
'x+1/2,y+1/2,z+1/2'
'-x+1/2,-y+1/2,z+1/2'
'x+1/2,-y+1/2,-z+1/2'
'-x+1/2,y+1/2,-z+1/2'
loop_
_atom_site_label
_atom_site_type_symbol
_atom_site_fract_x
_atom_site_fract_y
_atom_site_fract_z
Th1 Th 0.116 0.220 0.201
Si1 Si 0.180 0.000 0.500
Te1 Te 0.000 0.500 0.500
C1 C 0.000 0.000 0.000
```

## Properties
Calculated total energy ... -7.0137 eV per atom
Fermi-level density of states ... 0.77 states/eV/atom